1.
Cu3IrSe | PBE | optimized geometry

Lattice parameters (Å, degrees): 4.3973 4.3973 4.3973 90.00 90.00 90.00
Element x y z (fractional)
Cu (0.0000, 0.0000, 0.5000)
Cu (0.0000, 0.5000, 0.0000)
Cu (0.5000, 0.0000, 0.0000)
Ir (0.5000, 0.5000, 0.5000)
Se (0.0000, 0.0000, 0.0000)

Summary:
Fermi-level density of states (states/eV/f.u.): 3.69
Total moment (μB per cell): 0.00
Symmetry: Pm-3m (221)
Total DFT energy (no corrections) (eV per atom): -3.95
Formation energy without anion corrections (eV per atom): 0.977
Theoretical density (g/cm³): 9.0

***

2.
Rb2NiRhSe4 | PBE | optimized geometry

Lattice parameters (Å, degrees): 13.6006 12.0224 7.5527 84.75 61.67 33.57
Element x y z (fractional)
Rb (0.0581, 0.0581, 0.6919)
Rb (0.3081, 0.3081, 0.9419)
Rb (0.6919, 0.6919, 0.0581)
Rb (0.9419, 0.9419, 0.3081)
Ni (0.3750, 0.3750, 0.3750)
Ni (0.6250, 0.6250, 0.6250)
Rh (0.1250, 0.1250, 0.1250)
Rh (0.8750, 0.8750, 0.8750)
Se (0.0168, 0.3476, 0.4210)
Se (0.2855, 0.5790, 0.6524)
Se (0.3476, 0.0168, 0.7145)
Se (0.4210, 0.7145, 0.0168)
Se (0.5790, 0.2855, 0.9832)
Se (0.6524, 0.9832, 0.2855)
Se (0.7145, 0.4210, 0.3476)
Se (0.9832, 0.6524, 0.5790)

Summary:
Fermi-level density of states (states/eV/f.u.): 4.38
Total moment (μB per cell): 0.00
Symmetry: Fddd (70)
Total DFT energy (no corrections) (eV per atom): -4.22
Formation energy without anion corrections (eV per atom): -0.598
Theoretical density (g/cm³): 4.6

***

Number 2 is which compound? Rb2NiRhSe4

***

The highest theoretical density belongs to which entry? Cu3IrSe